The following is a DFT calculation (PBE) of an optimized crystal structure of ZnIrCl2.

The structure belongs to space group C2/m (No. 12); the cell edges are 5.944, 8.228 and 3.360 Å and the angles 90.00°, 121.93° and 90.00°. The inequivalent atoms are Zn at (0.000, 0.000, 0.000), Ir at (0.000, 0.500, 0.000) and Cl at (0.250, 0.250, 0.000).

Its density of states at the Fermi level is 2.1 states/eV/cell. Its energy above the lowest structure with this stoichiometry is 0.610 eV/atom. As for the energy relative to the elements, uncorrected: 38.6 kJ per mole of atoms.

=====

The following is a DFT calculation (PBE) of an optimized crystal structure of Rb2CuCl2F2.

The structure belongs to space group I4/mmm (No. 139); the cell edges are 5.073, 5.073 and 13.363 Å and the angles 90.00°, 90.00° and 90.00°. The inequivalent atoms are Rb at (0.000, 0.000, 0.154), Cu at (0.000, 0.000, 0.500), Cl at (0.000, 0.500, 0.000) and F at (0.000, 0.000, 0.356).

Its density of states at the Fermi level is 2.5 states/eV/cell. Its energy above the lowest structure with this stoichiometry is 0.037 eV/atom. As for the energy relative to the elements, uncorrected: -168.0 kJ per mole of atoms.

=====

| no. | magnetization (μB/cell) |
| --- | --- |
| 1 | 0.0 |
| 2 | 2.0 |